Entry from Alexandria via LeMat-Bulk: an optimized crystal structure of Tb2BiSbO8 (PBE-GGA).

Cell: 5.077 5.076 6.748 Å, 89.99 90.00 92.56°
Element x y z (fractional)
1 O 0.283 0.281 0.001
2 O 0.703 0.704 0.501
3 O 0.181 0.817 0.236
4 Tb 0.499 0.499 0.756
5 Bi 0.000 0.000 0.500
6 O 0.717 0.719 0.999
7 O 0.818 0.182 0.236
8 O 0.182 0.818 0.764
9 O 0.297 0.296 0.499
10 Sb 0.000 0.000 0.000
11 Tb 0.501 0.501 0.244
12 O 0.819 0.183 0.764

Output
The total energy comes out at -82.5 eV for the cell shown. The uncorrected formation energy is -2129 meV per atom.


Entry from Alexandria via LeMat-Bulk: an optimized crystal structure of CaLa3Si (PBE-GGA).

Cell: 5.612 5.612 5.612 Å, 90.00 90.00 90.00°
Element x y z (fractional)
1 La 0.500 0.000 0.000
2 La 0.000 0.000 0.500
3 La 0.000 0.500 0.000
4 Ca 0.000 0.000 0.000
5 Si 0.500 0.500 0.500

Output
The value obtained for the distance to the lowest polymorph of the same formula is 1043 meV/atom. The total energy comes out at -17.4 eV for the cell shown. The uncorrected formation energy is 952 meV per atom.


Entry from Alexandria via LeMat-Bulk: an optimized crystal structure of TiInPb (PBE-GGA).

Cell: 5.388 3.116 9.220 Å, 99.73 106.99 90.00°
Element x y z (fractional)
1 Ti 0.161 0.661 0.323
2 Pb 0.667 0.167 0.335
3 In 0.752 0.500 0.000
4 In 0.248 0.500 0.000
5 Pb 0.333 0.833 0.665
6 Ti 0.839 0.339 0.677

Output
The value obtained for the distance to the lowest polymorph of the same formula is 41 meV/atom. The total energy comes out at -26.8 eV for the cell shown. Its formation energy is 0.3192 eV/atom.


Entry from Alexandria via LeMat-Bulk: an optimized crystal structure of OsSeNF2 (PBE-GGA).

Cell: 4.309 4.309 3.775 Å, 90.00 90.00 90.00°
Site moments in Bohr magnetons follow the coordinates.
Element x y z (fractional)
1 F 0.000 0.500 0.000  0.07
2 F 0.500 0.000 0.000  0.07
3 N 0.000 0.000 0.500  -0.06
4 Os 0.000 0.000 0.000  -0.24
5 Se 0.500 0.500 0.500  1.14

Output
The value obtained for the distance to the lowest polymorph of the same formula is 0 meV/atom. The total energy comes out at -26.1 eV for the cell shown. The uncorrected formation energy is 131 meV per atom.


Entry from Alexandria via LeMat-Bulk: an optimized crystal structure of Nd2SmPu (PBE-GGA).

Cell: 3.524 3.524 12.699 Å, 82.02 82.02 60.00°
Site moments in Bohr magnetons follow the coordinates.
Element x y z (fractional)
1 Nd 0.912 0.912 0.263  -0.05
2 Sm 0.500 0.500 0.500  0.00
3 Nd 0.088 0.088 0.737  -0.05
4 Pu 0.000 0.000 0.000  -5.80

Output
The value obtained for the distance to the lowest polymorph of the same formula is 152 meV/atom. The total energy comes out at -27.5 eV for the cell shown. Its formation energy is 0.2684 eV/atom.


Entry from Alexandria via LeMat-Bulk: an optimized crystal structure of Ga3SnH (PBE-GGA).

Cell: 5.525 5.525 5.525 Å, 90.00 90.00 90.00°
Element x y z (fractional)
1 Ga 0.000 0.500 0.000
2 Ga 0.000 0.000 0.500
3 Sn 0.000 0.000 0.000
4 H 0.500 0.500 0.500
5 Ga 0.500 0.000 0.000

Output
The value obtained for the distance to the lowest polymorph of the same formula is 725 meV/atom. The total energy comes out at -11.9 eV for the cell shown.


Entry from Alexandria via LeMat-Bulk: an optimized crystal structure of HoErSn (PBE-GGA).

Cell: 3.525 3.525 7.219 Å, 104.13 104.13 90.00°
Element x y z (fractional)
1 Er 0.677 0.677 0.355
2 Sn 0.333 0.333 0.666
3 Ho 0.990 0.990 0.979

Output
The value obtained for the distance to the lowest polymorph of the same formula is 154 meV/atom. The total energy comes out at -14.4 eV for the cell shown. Its formation energy is -0.4281 eV/atom.


Entry from Alexandria via LeMat-Bulk: an optimized crystal structure of TbPuIr (PBE-GGA).

Cell: 7.221 8.620 8.620 Å, 66.16 65.24 65.24°
Site moments in Bohr magnetons follow the coordinates.
Element x y z (fractional)
1 Ir 0.753 0.750 0.250  -0.07
2 Tb 0.335 0.750 0.250  0.17
3 Tb 0.753 0.959 0.459  0.17
4 Ir 0.087 0.667 0.667  -0.14
5 Ir 0.420 0.333 0.333  -0.14
6 Ir 0.754 0.250 0.750  -0.07
7 Pu 0.003 0.000 0.000  5.25
8 Pu 0.503 0.125 0.125  5.25
9 Ir 0.087 0.167 0.167  -0.14
10 Tb 0.335 0.250 0.750  0.17
11 Tb 0.753 0.459 0.959  0.17
12 Tb 0.171 0.541 0.041  0.17
13 Pu 0.753 0.375 0.375  5.25
14 Tb 0.172 0.041 0.541  0.17
15 Ir 0.420 0.833 0.833  -0.14
16 Pu 0.003 0.500 0.500  5.25
17 Pu 0.753 0.875 0.875  5.25
18 Pu 0.503 0.625 0.625  5.25

Output
The value obtained for the distance to the lowest polymorph of the same formula is 0 meV/atom. The total energy comes out at -176.9 eV for the cell shown. Its formation energy is -0.5544 eV/atom.


Entry from Alexandria via LeMat-Bulk: an optimized crystal structure of K3PuBi2S6 (PBE-GGA).

Cell: 7.213 7.213 7.757 Å, 98.91 98.91 120.00°
Site moments in Bohr magnetons follow the coordinates.
Element x y z (fractional)
1 S 0.602 0.931 0.793  0.03
2 S 0.069 0.398 0.207  0.03
3 K 0.169 0.831 0.500  0.00
4 K 0.831 0.169 0.500  0.00
5 Bi 0.334 0.666 0.000  -0.01
6 S 0.931 0.602 0.793  0.03
7 Pu 0.000 0.000 0.000  -5.03
8 S 0.259 0.259 0.792  0.03
9 Bi 0.666 0.334 0.000  -0.01
10 S 0.741 0.741 0.208  0.03
11 S 0.398 0.069 0.207  0.03
12 K 0.500 0.500 0.500  0.00

Output
The total energy comes out at -62.7 eV for the cell shown. The uncorrected formation energy is -1048 meV per atom.


Entry from Alexandria via LeMat-Bulk: an optimized crystal structure of KSrCe2Cl8 (PBE-GGA).

Cell: 6.993 6.817 8.740 Å, 90.00 90.00 88.61°
Site moments in Bohr magnetons follow the coordinates.
Element x y z (fractional)
1 Cl 0.675 0.724 0.000  -0.01
2 Ce 0.500 0.500 0.241  1.33
3 Sr 0.000 0.000 0.000  0.01
4 Cl 0.815 0.235 0.767  0.00
5 Cl 0.816 0.235 0.233  0.00
6 Ce 0.500 0.500 0.759  1.33
7 Cl 0.325 0.276 0.000  -0.01
8 Cl 0.656 0.701 0.500  -0.01
9 Cl 0.344 0.299 0.500  -0.01
10 Cl 0.184 0.765 0.767  0.00
11 K 0.000 0.000 0.500  0.00
12 Cl 0.185 0.765 0.233  0.00

Output
The total energy comes out at -55.4 eV for the cell shown. The uncorrected formation energy is -2163 meV per atom.


Entry from Alexandria via LeMat-Bulk: an optimized crystal structure of Ag2WCl (PBE-GGA).

Cell: 2.918 2.918 10.096 Å, 90.00 90.00 118.59°
Element x y z (fractional)
1 Ag 0.500 0.500 0.225
2 Ag 0.000 0.000 0.984
3 W 0.500 0.500 0.743
4 Cl 0.000 0.000 0.548

Output
The value obtained for the distance to the lowest polymorph of the same formula is 0 meV/atom. The total energy comes out at -19.0 eV for the cell shown. The uncorrected formation energy is 366 meV per atom.